A relaxed Er3SbO6 crystal. Source: Alexandria, functional PBE.

Properties
- Formation energy without anion corrections: -2.95 eV/atom
- Calculated total energy: -154.18 eV/cell
- Magnetic moment: 0.0 μB/f.u.

```
Er3SbO6
1.0
4.803 2.773 3.777
-4.803 2.773 3.777
0.000 -5.546 3.777
Er Sb O
6 2 12
direct
0.056 0.752 0.565
0.248 0.435 0.944
0.435 0.944 0.248
0.565 0.056 0.752
0.752 0.565 0.056
0.944 0.248 0.435
0.000 0.000 0.000
0.500 0.500 0.500
0.024 0.676 0.892
0.108 0.976 0.324
0.179 0.426 0.602
0.324 0.108 0.976
0.398 0.821 0.574
0.426 0.602 0.179
0.574 0.398 0.821
0.602 0.179 0.426
0.676 0.892 0.024
0.821 0.574 0.398
0.892 0.024 0.676
0.976 0.324 0.108
```

=====

A relaxed Pu3SeBr7 crystal. Source: Alexandria, functional PBE.

Properties
- Formation energy without anion corrections: -1.50 eV/atom
- Calculated total energy: -74.64 eV/cell
- Magnetic moment: 15.0 μB/f.u.

```
Pu3SeBr7
1.0
8.530 0.000 0.000
-4.265 7.387 0.000
0.000 0.000 6.818
Pu Se Br
3 1 7
direct
0.008 0.504 0.000
0.496 0.504 0.000
0.496 0.992 0.000
0.333 0.667 0.784
0.172 0.344 0.233
0.172 0.828 0.233
0.348 0.174 0.775
0.656 0.828 0.233
0.667 0.333 0.241
0.826 0.174 0.775
0.826 0.652 0.775
```

=====

A relaxed TcIr2Rh crystal. Source: Alexandria, functional PBE.

Properties
- ΔE_f: -0.0580 eV/atom
- Energy relative to the lowest polymorph listed for this composition: 71 meV per atom
- Calculated total energy: -35.67 eV/cell
- Magnetic moment: 0.0 μB/f.u.

```
TcIr2Rh
1.0
1.372 0.792 8.872
-1.372 0.792 8.872
0.000 -1.584 8.872
Tc Ir Rh
1 2 1
direct
0.000 0.000 0.000
0.252 0.252 0.252
0.748 0.748 0.748
0.500 0.500 0.500
```

=====

A relaxed Na2LiHg crystal. Source: Alexandria, functional PBE.

Properties
- ΔE_f: -0.0494 eV/atom
- Calculated total energy: -5.05 eV/cell
- Magnetic moment: 0.0 μB/f.u.

```
Na2LiHg
1.0
3.103 -1.716 0.000
3.103 1.716 0.000
-2.139 0.000 10.515
Na Li Hg
2 1 1
direct
0.000 0.000 0.000
0.186 0.186 0.518
0.774 0.774 0.259
0.594 0.594 0.760
```

=====

A relaxed PaTlAsO5 crystal. Source: Alexandria, functional PBE.

Properties
- Formation energy without anion corrections: -2.04 eV/atom
- Calculated total energy: -115.26 eV/cell
- Magnetic moment: 0.8 μB/f.u.

```
PaTlAsO5
1.0
3.874 -5.073 0.000
3.874 5.073 0.000
-3.752 0.000 7.359
Pa Tl As O
2 2 2 10
direct
0.000 0.000 0.000
0.000 0.000 0.500
0.326 0.674 0.750
0.674 0.326 0.250
0.312 0.688 0.250
0.688 0.312 0.750
0.056 0.944 0.750
0.124 0.715 0.389
0.229 0.380 0.113
0.285 0.876 0.111
0.380 0.229 0.613
0.620 0.771 0.387
0.715 0.124 0.889
0.771 0.620 0.887
0.876 0.285 0.611
0.944 0.056 0.250
```

=====

A relaxed Y2MoP crystal. Source: Alexandria, functional PBE.

Properties
- ΔE_f: -0.2984 eV/atom
- Calculated total energy: -30.36 eV/cell
- Magnetic moment: 0.0 μB/f.u.

```
Y2MoP
1.0
3.628 0.000 0.000
0.000 3.628 0.000
0.000 0.000 6.378
Y Mo P
2 1 1
direct
0.000 0.000 0.238
0.000 0.000 0.762
0.500 0.500 0.500
0.500 0.500 0.000
```

=====

A relaxed K3Cu2BiO6 crystal. Source: Alexandria, functional PBE.

Properties
- Formation energy without anion corrections: -1.00 eV/atom
- Calculated total energy: -57.08 eV/cell
- Magnetic moment: 2.1 μB/f.u.

```
K3Cu2BiO6
1.0
6.089 0.000 0.000
-3.044 5.273 0.000
0.000 0.000 7.145
K Cu Bi O
3 2 1 6
direct
0.000 0.000 0.000
0.333 0.667 0.741
0.667 0.333 0.259
0.333 0.667 0.309
0.667 0.333 0.691
0.000 0.000 0.500
0.161 0.322 0.300
0.161 0.839 0.300
0.322 0.161 0.700
0.678 0.839 0.300
0.839 0.161 0.700
0.839 0.678 0.700
```

=====

A relaxed Mg3TiP crystal. Source: Alexandria, functional PBE.

Properties
- ΔE_f: 0.3979 eV/atom
- Energy relative to the lowest polymorph listed for this composition: 0 meV per atom
- Calculated total energy: -16.10 eV/cell
- Magnetic moment: 0.0 μB/f.u.

```
Mg3TiP
1.0
4.861 0.000 0.000
0.000 4.861 0.000
0.000 0.000 4.861
Mg Ti P
3 1 1
direct
0.000 0.000 0.500
0.000 0.500 0.000
0.500 0.000 0.000
0.500 0.500 0.500
0.000 0.000 0.000
```

=====

A relaxed Sc2NiAg crystal. Source: Alexandria, functional PBE.

Properties
- ΔE_f: -0.3250 eV/atom
- Calculated total energy: -22.60 eV/cell
- Magnetic moment: 0.0 μB/f.u.

```
Sc2NiAg
1.0
3.367 0.000 0.000
0.000 4.649 0.000
0.000 0.000 4.650
Sc Ni Ag
2 1 1
direct
0.000 0.000 0.000
0.000 0.500 0.500
0.500 0.000 0.501
0.500 0.500 0.999
```

=====

A relaxed TiCdBi crystal. Source: Alexandria, functional PBE.

Properties
- ΔE_f: 0.2858 eV/atom
- Energy relative to the lowest polymorph listed for this composition: 198 meV per atom
- Calculated total energy: -11.83 eV/cell
- Magnetic moment: 1.4 μB/f.u.

```
TiCdBi
1.0
5.066 0.000 0.000
-2.533 4.388 0.000
0.000 0.000 3.202
Ti Cd Bi
1 1 1
direct
0.000 0.000 0.000
0.333 0.667 0.313
0.667 0.333 0.622
```

=====

A relaxed Ta3In2Se6 crystal. Source: Alexandria, functional PBE.

Properties
- Formation energy without anion corrections: -0.69 eV/atom
- Calculated total energy: -69.49 eV/cell
- Magnetic moment: 0.0 μB/f.u.

```
Ta3In2Se6
1.0
3.487 0.000 0.000
-1.743 3.020 0.000
0.000 0.000 24.688
Ta In Se
3 2 6
direct
0.000 0.000 0.000
0.000 0.000 0.350
0.000 0.000 0.650
0.000 0.000 0.177
0.000 0.000 0.823
0.667 0.333 0.068
0.667 0.333 0.281
0.667 0.333 0.417
0.667 0.333 0.583
0.667 0.333 0.719
0.667 0.333 0.932
```

=====

A relaxed PuPaPb2 crystal. Source: Alexandria, functional PBE.

Properties
- ΔE_f: -0.0303 eV/atom
- Energy relative to the lowest polymorph listed for this composition: 0 meV per atom
- Calculated total energy: -31.37 eV/cell
- Magnetic moment: 6.8 μB/f.u.

```
PuPaPb2
1.0
4.202 0.000 0.000
0.000 4.202 0.000
0.000 0.000 6.289
Pu Pa Pb
1 1 2
direct
0.000 0.000 0.000
0.000 0.000 0.500
0.500 0.500 0.252
0.500 0.500 0.748
```